The following is a GGA-PBEsol calculation of a relaxed structure of CuPPt4, from Alexandria.

Lattice parameters (Å, degrees): 7.3000 7.3000 7.3000 90.00 90.00 90.00
Space group F-43m (No. 216)
Inequivalent atoms, fractional coordinates:
Cu: 0.0000 0.0000 0.0000 [4 per cell]
P: 0.2500 0.2500 0.2500 [4 per cell]
Pt: 0.1251 0.1251 0.6251 [16 per cell]

Calculated values
Total moment   0.0 μB/f.u.
ΔE_f   2.7 eV per formula unit

---

The following is a GGA-PBEsol calculation of a relaxed structure of Rb3CuP, from Alexandria.

Lattice parameters (Å, degrees): 6.0091 6.0091 6.0091 90.00 90.00 90.00
Space group Pm-3m (No. 221)
Inequivalent atoms, fractional coordinates:
Rb: 0.0000 0.0000 0.5000 [3 per cell]
Cu: 0.0000 0.0000 0.0000 [1 per cell]
P: 0.5000 0.5000 0.5000 [1 per cell]

Calculated values
Total moment   1.0 μB/f.u.
ΔE_f   2.7 eV per formula unit

---

The following is a GGA-PBEsol calculation of a relaxed structure of RbCu2P, from Alexandria.

Lattice parameters (Å, degrees): 6.5431 6.5431 6.5431 90.00 90.00 90.00
Space group Fm-3m (No. 225)
Inequivalent atoms, fractional coordinates:
Rb: 0.0000 0.0000 0.0000 [4 per cell]
Cu: 0.2500 0.2500 0.2500 [8 per cell]
P: 0.0000 0.0000 0.5000 [4 per cell]

Calculated values
Total moment   0.0 μB/f.u.
E above lowest polymorph   18.652 kcal/mol of atoms
ΔE_f   2.7 eV per formula unit

---

The following is a GGA-PBEsol calculation of a relaxed structure of RbCu2P, from Alexandria.

Lattice parameters (Å, degrees): 5.3015 5.3015 13.8616 90.00 90.00 90.00
Space group I4_1/amd (No. 141, origin choice 2)
Inequivalent atoms, fractional coordinates:
Rb: 0.0000 0.2500 0.3750 [4 per cell]
Cu: 0.0000 0.0000 0.0000 [8 per cell]
P: 0.0000 0.2500 0.8750 [4 per cell]

Calculated values
Total moment   0.0 μB/f.u.
E above lowest polymorph   0.000 kcal/mol of atoms
ΔE_f   -0.5 eV per formula unit

---

The following is a GGA-PBEsol calculation of a relaxed structure of CuReP, from Alexandria.

Lattice parameters (Å, degrees): 2.8371 2.8371 5.7409 90.00 90.00 120.00
Space group P3m1 (No. 156)
Inequivalent atoms, fractional coordinates:
Cu: 0.0000 0.0000 0.0000 [1 per cell]
Re: 0.6667 0.3333 0.3732 [1 per cell]
P: 0.3333 0.6667 0.6759 [1 per cell]

Calculated values
Total moment   0.0 μB/f.u.
ΔE_f   0.4 eV per formula unit

---

The following is a GGA-PBEsol calculation of a relaxed structure of CuRePS2, from Alexandria.

Lattice parameters (Å, degrees): 4.2990 4.2990 4.3060 90.00 90.00 90.00
Space group P4/mmm (No. 123)
Inequivalent atoms, fractional coordinates:
Cu: 0.0000 0.0000 0.0000 [1 per cell]
Re: 0.5000 0.5000 0.5000 [1 per cell]
P: 0.0000 0.0000 0.5000 [1 per cell]
S: 0.0000 0.5000 0.0000 [2 per cell]

Calculated values
Total moment   1.3 μB/f.u.
Uncorrected formation energy   1.321 eV per atom

---

The following is a GGA-PBEsol calculation of a relaxed structure of CuP2Rh, from Alexandria.

Lattice parameters (Å, degrees): 2.9140 2.9140 21.3369 90.00 90.00 120.00
Space group R-3m (No. 166, hexagonal axes)
Inequivalent atoms, fractional coordinates:
Cu: 0.0000 0.0000 0.0000 [3 per cell]
P: 0.0000 0.0000 0.2501 [6 per cell]
Rh: 0.0000 0.0000 0.5000 [3 per cell]

Calculated values
Total moment   0.0 μB/f.u.
E above lowest polymorph   0.000 kcal/mol of atoms
ΔE_f   -0.6 eV per formula unit

---

The following is a GGA-PBEsol calculation of a relaxed structure of CuP2Rh, from Alexandria.

Lattice parameters (Å, degrees): 2.8420 2.8420 6.4385 90.00 90.00 90.00
Space group P4/mmm (No. 123)
Inequivalent atoms, fractional coordinates:
Cu: 0.0000 0.0000 0.0000 [1 per cell]
P: 0.5000 0.5000 0.2588 [2 per cell]
Rh: 0.0000 0.0000 0.5000 [1 per cell]

Calculated values
Total moment   0.0 μB/f.u.
E above lowest polymorph   2.718 kcal/mol of atoms
ΔE_f   -0.1 eV per formula unit

---

- What is the total moment in the fourth record?
  0.0 μB/f.u.

---

- Which formula does entry 2 have?
  Rb3CuP

---

- Which of these has the highest total moment?
  CuRePS2